# 1
First-principles (PBE-GGA) data for Nd2TmTh after structural relaxation, as listed in the Alexandria database.

Calculated values
DOS at the Fermi energy: 11.328 states/eV/f.u.
Calculated formation energy: 0.212 eV/atom
Energy above the lowest structure with this stoichiometry: 179 meV/atom

```
data_Nd2TmTh
_space_group_name_H-M_alt 'F m -3 m'
_space_group_IT_number 225
_space_group_name_Hall '-F 4 2 3'
_cell_length_a 8.112
_cell_length_b 8.112
_cell_length_c 8.112
_cell_angle_alpha 90.00
_cell_angle_beta 90.00
_cell_angle_gamma 90.00
loop_
_atom_site_label
_atom_site_type_symbol
_atom_site_fract_x
_atom_site_fract_y
_atom_site_fract_z
Nd1 Nd 0.250 0.250 0.250
Tm1 Tm 0.000 0.000 0.000
Th1 Th 0.000 0.000 0.500
```

***

# 2
First-principles (PBE-GGA) data for PaSn2Mo after structural relaxation, as listed in the Alexandria database.

Calculated values
DOS at the Fermi energy: 5.452 states/eV/f.u.
Calculated formation energy: 0.086 eV/atom
Energy above the lowest structure with this stoichiometry: 43 meV/atom

```
data_PaSn2Mo
_space_group_name_H-M_alt 'P 4/m m m'
_space_group_IT_number 123
_space_group_name_Hall '-P 4 2'
_cell_length_a 3.498
_cell_length_b 3.498
_cell_length_c 7.139
_cell_angle_alpha 90.00
_cell_angle_beta 90.00
_cell_angle_gamma 90.00
loop_
_atom_site_label
_atom_site_type_symbol
_atom_site_fract_x
_atom_site_fract_y
_atom_site_fract_z
Pa1 Pa 0.000 0.000 0.000
Sn1 Sn 0.500 0.500 0.289
Mo1 Mo 0.000 0.000 0.500
```

***

# 3
First-principles (PBE-GGA) data for La5Pr2Tm after structural relaxation, as listed in the Alexandria database.

Calculated values
DOS at the Fermi energy: 11.627 states/eV/f.u.
Calculated formation energy: 0.103 eV/atom
Energy above the lowest structure with this stoichiometry: 0 meV/atom

```
data_La5Pr2Tm
_space_group_name_H-M_alt 'C m c m'
_space_group_IT_number 63
_space_group_name_Hall '-C 2c 2'
_cell_length_a 5.770
_cell_length_b 12.205
_cell_length_c 16.673
_cell_angle_alpha 90.00
_cell_angle_beta 90.00
_cell_angle_gamma 90.00
loop_
_atom_site_label
_atom_site_type_symbol
_atom_site_fract_x
_atom_site_fract_y
_atom_site_fract_z
La1 La 0.000 0.035 0.250
La2 La 0.000 0.113 0.553
La3 La 0.000 0.422 0.593
Pr1 Pr 0.000 0.277 0.134
Tm1 Tm 0.000 0.248 0.750
```

***

# 4
First-principles (PBE-GGA) data for La3TbSmY after structural relaxation, as listed in the Alexandria database.

Calculated values
DOS at the Fermi energy: 10.386 states/eV/f.u.
Calculated formation energy: 0.022 eV/atom

```
data_La3TbSmY
_space_group_name_H-M_alt 'P 1 21/m 1'
_space_group_IT_number 11
_cell_length_a 10.992
_cell_length_b 3.667
_cell_length_c 11.017
_cell_angle_alpha 90.00
_cell_angle_beta 109.53
_cell_angle_gamma 90.00
loop_
_space_group_symop_operation_xyz
'x,y,z'
'-x,-y,-z'
'-x,y+1/2,-z'
'x,-y+1/2,z'
loop_
_atom_site_label
_atom_site_type_symbol
_atom_site_fract_x
_atom_site_fract_y
_atom_site_fract_z
La1 La 0.043 0.250 0.372
La2 La 0.294 0.750 0.624
La3 La 0.455 0.750 0.125
Tb1 Tb 0.123 0.750 0.122
Sm1 Sm 0.205 0.250 0.878
Y1 Y 0.374 0.250 0.373
```

***

# 5
First-principles (PBE-GGA) data for PmSm3In3 after structural relaxation, as listed in the Alexandria database.

Calculated values
DOS at the Fermi energy: 8.355 states/eV/f.u.
Calculated formation energy: -0.336 eV/atom
Energy above the lowest structure with this stoichiometry: 13 meV/atom

```
data_PmSm3In3
_space_group_name_H-M_alt 'P 21 3'
_space_group_IT_number 198
_space_group_name_Hall 'P 2ac 2ab 3'
_cell_length_a 9.506
_cell_length_b 9.506
_cell_length_c 9.506
_cell_angle_alpha 90.00
_cell_angle_beta 90.00
_cell_angle_gamma 90.00
loop_
_atom_site_label
_atom_site_type_symbol
_atom_site_fract_x
_atom_site_fract_y
_atom_site_fract_z
Pm1 Pm 0.075 0.425 0.575
Sm1 Sm 0.075 0.575 0.925
Sm2 Sm 0.176 0.176 0.176
Sm3 Sm 0.176 0.824 0.324
In1 In 0.000 0.251 0.876
```

***

# 6
First-principles (PBE-GGA) data for KBaHg2Sb2 after structural relaxation, as listed in the Alexandria database.

Calculated values
Energy relative to the elements, uncorrected: -0.511 eV per atom
DOS at the Fermi energy: 1.745 states/eV/f.u.

```
data_KBaHg2Sb2
_space_group_name_H-M_alt 'P -3 m 1'
_space_group_IT_number 164
_space_group_name_Hall '-P 3 2"'
_cell_length_a 5.0892
_cell_length_b 5.0892
_cell_length_c 9.4934
_cell_angle_alpha 90.00
_cell_angle_beta 90.00
_cell_angle_gamma 120.00
loop_
_atom_site_label
_atom_site_type_symbol
_atom_site_fract_x
_atom_site_fract_y
_atom_site_fract_z
K1 K 0.0000 0.0000 0.0000
Ba1 Ba 0.0000 0.0000 0.5000
Hg1 Hg 0.3333 0.6667 0.2730
Sb1 Sb 0.3333 0.6667 0.7408
```

***

# 7
First-principles (PBE-GGA) data for Pr8Mg2Co after structural relaxation, as listed in the Alexandria database.

Calculated values
DOS at the Fermi energy: 14.331 states/eV/f.u.
Calculated formation energy: 0.020 eV/atom

```
data_Pr8Mg2Co
_space_group_name_H-M_alt 'C 1 2/m 1'
_space_group_IT_number 12
_cell_length_a 17.904
_cell_length_b 5.800
_cell_length_c 7.148
_cell_angle_alpha 90.00
_cell_angle_beta 111.37
_cell_angle_gamma 90.00
loop_
_space_group_symop_operation_xyz
'x,y,z'
'-x,-y,-z'
'-x,y,-z'
'x,-y,z'
'x+1/2,y+1/2,z'
'-x+1/2,-y+1/2,-z'
'-x+1/2,y+1/2,-z'
'x+1/2,-y+1/2,z'
loop_
_atom_site_label
_atom_site_type_symbol
_atom_site_fract_x
_atom_site_fract_y
_atom_site_fract_z
Pr1 Pr 0.010 0.000 0.276
Pr2 Pr 0.098 0.500 0.895
Pr3 Pr 0.139 0.500 0.417
Pr4 Pr 0.198 0.000 0.745
Mg1 Mg 0.183 0.000 0.193
Co1 Co 0.000 0.500 0.500
```

***

# 8
First-principles (PBE-GGA) data for K2Mn2NbS6 after structural relaxation, as listed in the Alexandria database.

Calculated values
Energy relative to the elements, uncorrected: -0.854 eV per atom
DOS at the Fermi energy: 2.638 states/eV/f.u.

```
data_K2Mn2NbS6
_space_group_name_H-M_alt 'C 1 2/m 1'
_space_group_IT_number 12
_cell_length_a 5.933
_cell_length_b 10.359
_cell_length_c 7.767
_cell_angle_alpha 90.00
_cell_angle_beta 103.25
_cell_angle_gamma 90.00
loop_
_space_group_symop_operation_xyz
'x,y,z'
'-x,-y,-z'
'-x,y,-z'
'x,-y,z'
'x+1/2,y+1/2,z'
'-x+1/2,-y+1/2,-z'
'-x+1/2,y+1/2,-z'
'x+1/2,-y+1/2,z'
loop_
_atom_site_label
_atom_site_type_symbol
_atom_site_fract_x
_atom_site_fract_y
_atom_site_fract_z
K1 K 0.000 0.162 0.000
Mn1 Mn 0.000 0.339 0.500
Nb1 Nb 0.000 0.000 0.500
S1 S 0.198 0.500 0.685
S2 S 0.231 0.177 0.678
```

***

- What is the formula in the sixth record?
  KBaHg2Sb2

***

- Look up the DOS at the Fermi energy of the first one.
  11.328 states/eV/f.u.

***

- Look up the DOS at the Fermi energy of the third one.
  11.627 states/eV/f.u.

***

- The highest DOS at the Fermi energy belongs to which entry?
  Pr8Mg2Co